[1]
{"formula": "BeAl5Ni6", "functional": "PBE-GGA", "state": "relaxed", "lattice_angstrom": [[-2.023, 2.838, 6.074], [2.023, -2.838, 6.074], [2.023, 2.838, -6.074]], "species": ["Be", "Al", "Al", "Al", "Al", "Al", "Ni", "Ni", "Ni", "Ni", "Ni", "Ni"], "frac_coords": [[0.000, 0.000, 0.000], [0.169, 0.669, 0.500], [0.333, 0.333, 0.000], [0.500, 0.000, 0.500], [0.667, 0.667, 0.000], [0.831, 0.331, 0.500], [0.083, 0.840, 0.243], [0.239, 0.500, 0.739], [0.403, 0.160, 0.243], [0.597, 0.840, 0.757], [0.761, 0.500, 0.261], [0.917, 0.160, 0.757]], "crystal_system": "orthorhombic", "sg": "No. 71", "e_form_kcal_per_mol_atoms": -13.884}


[2]
{"formula": "V3PH2", "functional": "PBE-GGA", "state": "relaxed", "lattice_angstrom": [[4.689, 0.000, 0.000], [0.000, 3.033, 0.000], [-1.095, 0.000, 8.133]], "species": ["V", "V", "V", "V", "V", "V", "P", "P", "H", "H", "H", "H"], "frac_coords": [[0.032, 0.250, 0.333], [0.235, 0.750, 0.067], [0.465, 0.250, 0.611], [0.535, 0.750, 0.389], [0.765, 0.250, 0.933], [0.968, 0.750, 0.667], [0.247, 0.250, 0.848], [0.753, 0.750, 0.152], [0.226, 0.750, 0.505], [0.340, 0.250, 0.226], [0.660, 0.750, 0.774], [0.774, 0.250, 0.495]], "crystal_system": "monoclinic", "sg": "No. 11", "e_tot_ev_per_atom": -6.9631}


[3]
{"formula": "MgZn2Au", "functional": "PBE-GGA", "state": "relaxed", "lattice_angstrom": [[-2.079, 2.079, 3.826], [2.079, -2.079, 3.826], [2.079, 2.079, -3.826]], "species": ["Mg", "Zn", "Zn", "Au"], "frac_coords": [[0.000, 0.000, 0.000], [0.500, 0.500, 0.000], [0.750, 0.250, 0.500], [0.250, 0.750, 0.500]], "crystal_system": "tetragonal", "sg": "No. 119", "e_form_kcal_per_mol_atoms": -5.856}


[4]
{"formula": "K2CaCoH6", "functional": "PBE-GGA", "state": "relaxed", "lattice_angstrom": [[5.788, 0.000, 0.000], [-2.894, 5.013, 0.000], [0.000, 0.000, 5.652]], "species": ["K", "K", "Ca", "Co", "H", "H", "H", "H", "H", "H"], "frac_coords": [[0.333, 0.667, 0.130], [0.667, 0.333, 0.870], [0.000, 0.000, 0.500], [0.000, 0.000, 0.000], [0.128, 0.256, 0.838], [0.128, 0.872, 0.838], [0.256, 0.128, 0.162], [0.744, 0.872, 0.838], [0.872, 0.128, 0.162], [0.872, 0.744, 0.162]], "crystal_system": "trigonal", "sg": "No. 164", "e_tot_ev_per_atom": -3.4036}


[5]
{"formula": "LiTeRuRh", "functional": "PBE-GGA", "state": "relaxed", "lattice_angstrom": [[0.000, 3.088, 3.088], [3.088, 0.000, 3.088], [3.088, 3.088, 0.000]], "species": ["Li", "Te", "Ru", "Rh"], "frac_coords": [[0.000, 0.000, 0.000], [0.500, 0.500, 0.500], [0.250, 0.250, 0.250], [0.750, 0.750, 0.750]], "raw_formation_energy_ev_per_atom": -0.246, "crystal_system": "cubic", "sg": "No. 216"}


[6]
{"formula": "Er2MnGa3Cu12", "functional": "PBE-GGA", "state": "relaxed", "lattice_angstrom": [[2.701, 1.559, 11.262], [-2.701, 1.559, 11.262], [0.000, -3.118, 11.262]], "species": ["Er", "Er", "Mn", "Ga", "Ga", "Ga", "Cu", "Cu", "Cu", "Cu", "Cu", "Cu", "Cu", "Cu", "Cu", "Cu", "Cu", "Cu"], "frac_coords": [[0.143, 0.143, 0.143], [0.857, 0.857, 0.857], [0.500, 0.500, 0.500], [0.000, 0.500, 0.500], [0.500, 0.000, 0.500], [0.500, 0.500, 0.000], [0.097, 0.097, 0.637], [0.097, 0.637, 0.097], [0.107, 0.613, 0.613], [0.363, 0.903, 0.903], [0.387, 0.387, 0.893], [0.387, 0.893, 0.387], [0.613, 0.107, 0.613], [0.613, 0.613, 0.107], [0.637, 0.097, 0.097], [0.893, 0.387, 0.387], [0.903, 0.363, 0.903], [0.903, 0.903, 0.363]], "crystal_system": "trigonal", "sg": "No. 166", "e_form_kcal_per_mol_atoms": 1.914}


[7]
{"formula": "YGa4Au", "functional": "PBE-GGA", "state": "relaxed", "lattice_angstrom": [[3.579, 0.000, 0.000], [0.728, 3.608, 0.000], [0.242, 0.189, 9.288]], "species": ["Y", "Ga", "Ga", "Ga", "Ga", "Au"], "frac_coords": [[0.000, 0.000, 0.000], [0.060, 0.054, 0.652], [0.494, 0.496, 0.201], [0.506, 0.504, 0.799], [0.940, 0.946, 0.348], [0.500, 0.500, 0.500]], "crystal_system": "triclinic", "sg": "No. 2", "e_form_kcal_per_mol_atoms": -6.766}


[8]
{"formula": "Sm3TeSeN", "functional": "PBE-GGA", "state": "relaxed", "lattice_angstrom": [[8.930, 0.000, 0.000], [0.000, 4.095, 0.000], [-1.330, 0.000, 9.245]], "species": ["Sm", "Sm", "Sm", "Sm", "Sm", "Sm", "Te", "Te", "Se", "Se", "N", "N"], "frac_coords": [[0.081, 0.250, 0.364], [0.343, 0.250, 0.997], [0.380, 0.750, 0.662], [0.620, 0.250, 0.338], [0.657, 0.750, 0.003], [0.919, 0.750, 0.636], [0.331, 0.750, 0.295], [0.669, 0.250, 0.705], [0.150, 0.250, 0.681], [0.850, 0.750, 0.319], [0.411, 0.750, 0.903], [0.589, 0.250, 0.097]], "raw_formation_energy_ev_per_atom": -1.480, "crystal_system": "monoclinic", "sg": "No. 11"}


no.,density of states at the Fermi level (states/eV/atom),size of the total moment (μB per formula unit)
1,0.57,0.0
2,0.59,0.0
3,0.21,0.0
4,0.16,0.9
5,0.59,0.0
6,0.50,3.5
7,0.38,0.0
8,0.44,0.0